Here is a geometry-optimized KTlAg2Pt structure from Alexandria. Energies are from PBE-GGA.

Calculated values
The formation energy is 0.035 eV/atom. Its uncorrected energy is -3.007 eV/atom. The magnetization comes out at 0.000 μB/f.u.

Unit cell a=5.3502 b=5.3502 c=5.2077 alpha=90.00 beta=90.00 gamma=90.00
Last column: nearest neighbours and their distance in Å.
Space group P4/mmm (No. 123)
One atom of each set of equivalent atoms:
K1 0.0000 0.0000 0.0000 [1 per cell]  8 Ag 3.73, 4 Tl 3.78
Tl1 0.5000 0.5000 0.0000 [1 per cell]  2 Pt 2.60
Ag1 0.0000 0.5000 0.5000 [2 per cell]  2 Pt 2.68
Pt1 0.5000 0.5000 0.5000 [1 per cell]  2 Tl 2.60, 4 Ag 2.68